Material: In6Ga7
Method: DFT, PBE
State: relaxed

```
In6Ga7
1.0
-4.191 -1.840 3.778
0.106 -5.561 2.071
4.180 0.459 9.522
In Ga
6 7
Cartesian
-1.324 -5.943 9.622
1.419 -0.999 5.749
-2.553 -4.844 4.132
2.648 -2.098 11.239
-0.800 -3.918 6.528
0.895 -3.024 8.843
0.000 0.000 0.000
-0.563 -3.610 11.602
1.582 -5.467 10.750
-0.510 -6.386 12.636
0.605 -0.556 2.735
0.658 -3.332 3.769
-1.487 -1.474 4.621
```

Summary:
Electronic total energy, eV per atom: -2.847
Volume, Å³ per atom: 23.063
M_tot, Bohr magnetons per cell: 0.0
Energy of formation, eV/atom: 0.05

---

Material: BiSO2
Method: DFT, PBE
State: relaxed

```
BiSO2
1.0
-3.025 -0.096 3.077
0.670 -5.862 -0.507
5.428 0.443 3.146
Bi S O
2 2 4
Cartesian
-1.859 -3.355 2.890
0.689 -0.690 2.557
3.999 -0.585 3.006
1.018 -3.900 2.472
1.748 -0.761 4.762
4.439 -1.913 3.727
-1.085 -1.480 3.573
5.325 -5.345 3.356
```

Summary:
Electronic total energy, eV per atom: -5.497
Volume, Å³ per atom: 19.300
Uncorrected formation energy, meV per atom: -1016
M_tot, Bohr magnetons per cell: 0.0
Distance to the lowest polymorph of the same formula, eV per atom: 0.0000

---

Material: ScGa6Pd12
Method: DFT, PBE
State: relaxed

```
ScGa6Pd12
1.0
-0.759 -7.045 0.652
4.818 0.288 -5.228
4.136 1.367 5.627
Sc Ga Pd
1 6 12
Cartesian
0.000 0.000 0.000
5.481 -4.228 -1.247
1.568 -3.391 -0.200
3.528 -0.585 -1.096
2.714 -1.162 2.298
6.627 -2.000 1.251
4.666 -4.806 2.147
3.448 -5.116 0.015
5.795 -1.775 -1.152
4.866 -2.389 2.946
4.747 -0.274 1.035
2.400 -3.615 2.203
3.329 -3.001 -1.895
5.486 0.533 -2.687
7.201 0.577 2.051
4.756 -4.301 -3.908
2.709 -5.923 3.737
0.994 -5.967 -1.000
3.438 -1.090 4.958
```

Summary:
Electronic total energy, eV per atom: -5.025
Volume, Å³ per atom: 17.907
M_tot, Bohr magnetons per cell: 0.0
Energy of formation, eV/atom: -0.46

---

Material: Cd2InTc
Method: DFT, PBE
State: relaxed

```
Cd2InTc
1.0
-3.069 -2.720 3.314
-1.662 -0.074 -5.003
1.698 -2.557 -0.526
Cd In Tc
2 1 1
Cartesian
0.000 0.000 0.000
-2.366 -1.397 -0.845
-0.686 -2.638 1.394
0.018 -1.315 -2.765
```

Summary:
Electronic total energy, eV per atom: -3.369
Volume, Å³ per atom: 19.780
M_tot, Bohr magnetons per cell: 1.4
Energy of formation, eV/atom: 0.36

---

Material: KRb2PaO4
Method: DFT, PBE
State: relaxed

```
KRb2PaO4
1.0
-1.445 3.280 -0.847
-3.254 0.084 5.874
6.280 2.916 0.574
K Rb Pa O
1 2 1 4
Cartesian
-2.350 1.682 2.513
2.417 3.098 -0.137
1.513 1.500 3.224
0.000 0.000 0.000
-0.174 2.200 0.806
1.755 4.080 4.795
4.564 2.419 1.578
-1.537 0.581 4.870
```

Summary:
Electronic total energy, eV per atom: -6.465
Volume, Å³ per atom: 20.038
Uncorrected formation energy, meV per atom: -2419
M_tot, Bohr magnetons per cell: 0.0

---

Material: Th2ZrPa
Method: DFT, PBE
State: relaxed

```
Th2ZrPa
1.0
-2.105 -1.367 -2.392
-1.679 -1.751 2.477
-5.872 7.156 1.078
Pa Zr Th
1 1 2
Cartesian
-4.828 2.019 0.582
-1.892 -1.559 0.043
-4.416 5.382 0.811
-1.456 1.774 0.267
```

Summary:
Electronic total energy, eV per atom: -8.116
Volume, Å³ per atom: 28.003
M_tot, Bohr magnetons per cell: 0.0
Distance to the lowest polymorph of the same formula, eV per atom: 0.0000
Energy of formation, eV/atom: 0.11